! HoPa2FeN4, relaxed, DFT PBE-GGA; values from VASP
&SYSTEM
  ibrav = 0, nat = 16, ntyp = 4
/
ATOMIC_SPECIES
Pa 231.04 Pa.upf
N 14.01 N.upf
Fe 55.84 Fe.upf
Ho 164.93 Ho.upf
CELL_PARAMETERS angstrom
3.3348 0.0000 0.0000
-1.6674 5.7632 0.0000
0.0000 0.0000 11.4269
ATOMIC_POSITIONS crystal
Pa 0.6320 0.2640 0.0613
Pa 0.6320 0.2640 0.4387
Pa 0.3680 0.7360 0.5613
Pa 0.3680 0.7360 0.9387
N 0.2757 0.5514 0.1223
N 0.4525 0.9050 0.7500
N 0.0000 0.0000 0.0000
N 0.7243 0.4486 0.6223
N 0.5475 0.0950 0.2500
N 0.0000 0.0000 0.5000
N 0.7243 0.4486 0.8777
N 0.2757 0.5514 0.3777
Fe 0.1563 0.3127 0.2500
Fe 0.8437 0.6873 0.7500
Ho 0.1077 0.2155 0.7500
Ho 0.8923 0.7845 0.2500
! - Symmetry: Cmcm, No. 63
! - Raw total energy: -9.478 eV per atom
! - ΔE_f (raw): -1311 meV/atom

=====

! Np3Ni5Se12, relaxed, DFT PBE-GGA; values from VASP
&SYSTEM
  ibrav = 0, nat = 80, ntyp = 3
/
ATOMIC_SPECIES
Ni 58.69 Ni.upf
Np 237.00 Np.upf
Se 78.96 Se.upf
CELL_PARAMETERS angstrom
-9.3535 -4.1676 -8.1410
11.6760 -3.9397 -4.3911
-2.0730 -4.9581 11.9269
ATOMIC_POSITIONS crystal
Ni 0.2500 0.8750 0.1250
Ni 0.7500 0.6250 0.3750
Ni 0.7500 0.1250 0.8750
Ni 0.3750 0.1250 0.7500
Ni 0.5000 0.5000 0.0000
Ni 0.8750 0.6250 0.7500
Ni 0.0000 0.5000 0.0000
Ni 0.6250 0.8750 0.2500
Ni 0.5000 0.5000 0.5000
Ni 0.5000 0.0000 0.5000
Ni 0.3750 0.2500 0.1250
Ni 0.2500 0.3750 0.6250
Ni 0.5000 0.0000 0.0000
Ni 0.1250 0.3750 0.2500
Ni 0.8750 0.2500 0.6250
Ni 0.6250 0.7500 0.8750
Ni 0.0000 0.0000 0.0000
Ni 0.0000 0.0000 0.5000
Ni 0.1250 0.7500 0.3750
Ni 0.0000 0.5000 0.5000
Np 0.1250 0.2500 0.8750
Np 0.7500 0.8750 0.6250
Np 0.8750 0.7500 0.1250
Np 0.8750 0.1250 0.2500
Np 0.2500 0.1250 0.3750
Np 0.1250 0.8750 0.7500
Np 0.7500 0.3750 0.1250
Np 0.3750 0.6250 0.2500
Np 0.6250 0.3750 0.7500
Np 0.6250 0.2500 0.3750
Np 0.2500 0.6250 0.8750
Np 0.3750 0.7500 0.6250
Se 0.0301 0.6183 0.7060
Se 0.5882 0.9699 0.6758
Se 0.6183 0.5882 0.9124
Se 0.0301 0.4118 0.8242
Se 0.6758 0.4699 0.5882
Se 0.0876 0.1758 0.2060
Se 0.9699 0.3817 0.2940
Se 0.7940 0.4699 0.3817
Se 0.2060 0.6758 0.0876
Se 0.4118 0.0301 0.3242
Se 0.2060 0.5301 0.6183
Se 0.5876 0.7060 0.6758
Se 0.7060 0.5876 0.1758
Se 0.0876 0.9118 0.3817
Se 0.9124 0.8242 0.7940
Se 0.4124 0.1183 0.5882
Se 0.3242 0.7940 0.4124
Se 0.6183 0.0301 0.2060
Se 0.1758 0.0876 0.7060
Se 0.5882 0.6183 0.4124
Se 0.4118 0.3817 0.5876
Se 0.1183 0.4124 0.0882
Se 0.0882 0.9124 0.1183
Se 0.1183 0.7060 0.5301
Se 0.3817 0.4118 0.0876
Se 0.3817 0.9699 0.7940
Se 0.0882 0.1758 0.4699
Se 0.9124 0.0882 0.6183
Se 0.8817 0.5876 0.9118
Se 0.4124 0.2940 0.3242
Se 0.7940 0.3242 0.9124
Se 0.9118 0.0876 0.8817
Se 0.5876 0.8817 0.4118
Se 0.2940 0.4124 0.8242
Se 0.3242 0.5301 0.4118
Se 0.5301 0.3242 0.9118
Se 0.6758 0.2060 0.5876
Se 0.7060 0.1183 0.0301
Se 0.1758 0.0882 0.9699
Se 0.5301 0.2060 0.1183
Se 0.8242 0.9118 0.0301
Se 0.8817 0.2940 0.4699
Se 0.8242 0.9124 0.2940
Se 0.9118 0.8242 0.5301
Se 0.9699 0.5882 0.1758
Se 0.2940 0.8817 0.9699
Se 0.4699 0.7940 0.8817
Se 0.4699 0.6758 0.0882
! - Symmetry: Ia-3d, No. 230
! - Raw total energy: -6.044 eV per atom
! - ΔE_f (raw): -567 meV/atom

=====

! Ga4Ag5, relaxed, DFT PBE-GGA; values from VASP
&SYSTEM
  ibrav = 0, nat = 9, ntyp = 2
/
ATOMIC_SPECIES
Ga 69.72 Ga.upf
Ag 107.87 Ag.upf
CELL_PARAMETERS angstrom
2.8431 0.0000 0.7479
1.4216 7.4552 0.3739
-0.4750 0.0000 7.5839
ATOMIC_POSITIONS crystal
Ga 0.6697 0.3303 0.3303
Ga 0.3303 0.6697 0.6697
Ga 0.0000 0.3303 0.6697
Ga 0.0000 0.6697 0.3303
Ag 0.3334 0.3332 0.0000
Ag 0.0000 0.0000 0.0000
Ag 0.6666 0.6668 0.0000
Ag 0.3334 0.0000 0.3332
Ag 0.6666 0.0000 0.6668
! - ΔE to the lowest computed polymorph: 19 meV per atom
! - Symmetry: I4/mmm, No. 139
! - ΔE_f: 34 meV per atom
! - Raw total energy: -2.895 eV per atom

=====

! HoCr2S4, relaxed, DFT PBE-GGA; values from VASP
&SYSTEM
  ibrav = 0, nat = 14, ntyp = 3
/
ATOMIC_SPECIES
S 32.06 S.upf
Ho 164.93 Ho.upf
Cr 52.00 Cr.upf
CELL_PARAMETERS angstrom
6.6959 0.2767 -2.0772
-3.5622 5.6764 -2.0772
-0.1480 -0.2810 7.0102
ATOMIC_POSITIONS crystal
S 0.9206 0.6035 0.6828
S 0.4878 0.6707 0.8172
S 0.3292 0.5122 0.1827
S 0.7622 0.0791 0.6827
S 0.9207 0.2378 0.3172
S 0.3965 0.0796 0.3173
S 0.3295 0.1465 0.8173
S 0.8535 0.6706 0.1828
Ho 0.2500 0.7500 0.5000
Ho 0.0000 0.0000 0.0000
Cr 0.6250 0.3750 0.7500
Cr 0.6250 0.8750 0.2500
Cr 0.1250 0.3750 0.7500
Cr 0.6250 0.3750 0.2500
! - Symmetry: I4_1/amd, No. 141
! - Raw total energy: -6.798 eV per atom
! - ΔE_f (raw): -1036 meV/atom

=====

! ReAu, relaxed, DFT PBE-GGA; values from VASP
&SYSTEM
  ibrav = 0, nat = 4, ntyp = 2
/
ATOMIC_SPECIES
Au 196.97 Au.upf
Re 186.21 Re.upf
CELL_PARAMETERS angstrom
-0.4026 2.6555 -0.6625
-2.0760 -1.8135 -0.2322
-2.7955 1.9712 9.5993
ATOMIC_POSITIONS crystal
Au 0.6667 0.3333 0.5535
Au 0.3333 0.6667 0.0535
Re 0.3333 0.6667 0.3175
Re 0.6667 0.3333 0.8175
! - ΔE to the lowest computed polymorph: 566 meV per atom
! - Symmetry: P6_3mc, No. 186
! - ΔE_f: 710 meV per atom
! - Raw total energy: -7.153 eV per atom

=====

! AcNd2O, relaxed, DFT PBE-GGA; values from VASP
&SYSTEM
  ibrav = 0, nat = 4, ntyp = 3
/
ATOMIC_SPECIES
Ac 227.00 Ac.upf
Nd 144.24 Nd.upf
O 16.00 O.upf
CELL_PARAMETERS angstrom
3.7167 0.0000 0.0000
1.8584 3.2188 0.0000
1.8584 1.0729 9.9355
ATOMIC_POSITIONS crystal
Ac 0.0000 0.0000 0.0000
Nd 0.1220 0.1220 0.6341
Nd 0.8780 0.8780 0.3659
O 0.5000 0.5000 0.5000
! - ΔE to the lowest computed polymorph: 0 meV per atom
! - Symmetry: R-3m, No. 166
! - Raw total energy: -5.791 eV per atom
! - ΔE_f (raw): -1140 meV/atom

=====

! Ta2PbSe, relaxed, DFT PBE-GGA; values from VASP
&SYSTEM
  ibrav = 0, nat = 4, ntyp = 3
/
ATOMIC_SPECIES
Ta 180.95 Ta.upf
Pb 207.20 Pb.upf
Se 78.96 Se.upf
CELL_PARAMETERS angstrom
-2.8110 3.9549 -0.9451
-4.7335 1.4237 -0.0549
-0.4930 2.2855 5.4340
ATOMIC_POSITIONS crystal
Ta 0.0073 0.0073 0.0249
Ta 0.7310 0.7310 0.7982
Pb 0.4910 0.4910 0.5473
Se 0.2707 0.2707 0.1296
! - ΔE to the lowest computed polymorph: 250 meV per atom
! - Symmetry: Cm, No. 8
! - Raw total energy: -7.541 eV per atom
! - ΔE_f (raw): 184 meV/atom

=====

! AlCrTe2, relaxed, DFT PBE-GGA; values from VASP
&SYSTEM
  ibrav = 0, nat = 4, ntyp = 3
/
ATOMIC_SPECIES
Al 26.98 Al.upf
Cr 52.00 Cr.upf
Te 127.60 Te.upf
CELL_PARAMETERS angstrom
-2.1527 -4.3310 -1.4642
4.5679 -1.9807 -0.8641
0.1170 -1.1880 3.3419
ATOMIC_POSITIONS crystal
Al 0.5000 0.0000 0.5000
Cr 0.0000 0.5000 0.5000
Te 0.5000 0.5000 0.0000
Te 0.0000 0.0000 0.0000
! - Symmetry: P4/mmm, No. 123
! - Raw total energy: -4.668 eV per atom
! - ΔE_f (raw): 244 meV/atom

=====

! TaHgCl2, relaxed, DFT PBE-GGA; values from VASP
&SYSTEM
  ibrav = 0, nat = 4, ntyp = 3
/
ATOMIC_SPECIES
Cl 35.45 Cl.upf
Ta 180.95 Ta.upf
Hg 200.59 Hg.upf
CELL_PARAMETERS angstrom
3.0983 0.0000 0.0000
0.0000 3.0960 -0.2079
0.0000 0.8912 10.4957
ATOMIC_POSITIONS crystal
Cl 0.0000 0.7607 0.5689
Cl 0.0000 0.7393 0.9311
Ta 0.5000 0.7500 0.7500
Hg 0.5000 0.2500 0.2500
! - ΔE to the lowest computed polymorph: 103 meV per atom
! - Symmetry: P2/m, No. 10
! - Raw total energy: -4.437 eV per atom
! - ΔE_f (raw): -475 meV/atom

=====

! NpNi4Ru, relaxed, DFT PBE-GGA; values from VASP
&SYSTEM
  ibrav = 0, nat = 6, ntyp = 3
/
ATOMIC_SPECIES
Np 237.00 Np.upf
Ni 58.69 Ni.upf
Ru 101.07 Ru.upf
CELL_PARAMETERS angstrom
-0.0748 3.4699 -3.3775
-3.6871 3.1352 -0.1693
0.6931 4.6236 1.2628
ATOMIC_POSITIONS crystal
Np 0.0000 0.0000 0.0000
Ni 0.6244 0.6244 0.1267
Ni 0.6244 0.1267 0.6244
Ni 0.6244 0.6244 0.6244
Ni 0.1267 0.6244 0.6244
Ru 0.2500 0.2500 0.2500
! - Symmetry: F-43m, No. 216
! - ΔE_f: -53 meV per atom
! - Raw total energy: -7.610 eV per atom

=====

What did we get for total magnetic moment? Answer: 0.001; 35.037; 0.000; 13.990; 0.000; 0.002; 0.000; 3.927; 0.000; 0.436 μB per cell, in the order shown.